(1)
## ReIrAu2 (PBE)

Data for a relaxed structure of ReIrAu2.

Computed properties:
ΔH_f (0 K) ... 2.694 eV per formula unit
Volume ... 16.191 Å³/atom

Geometry as CIF:
```
data_ReIrAu2
_chemical_formula_sum 'Re1 Ir1 Au2'
_symmetry_space_group_name_H-M 'P 4/m m m'
_symmetry_Int_Tables_number 123
_symmetry_space_group_name_Hall '-P 4 2'
_cell_length_a 3.9625
_cell_length_b 3.9625
_cell_length_c 4.1246
_cell_angle_alpha 90.00
_cell_angle_beta 90.00
_cell_angle_gamma 90.00
loop_
_atom_site_label
_atom_site_type_symbol
_atom_site_fract_x
_atom_site_fract_y
_atom_site_fract_z
Re1 Re 0.0000 0.0000 0.0000
Ir1 Ir 0.5000 0.5000 0.0000
Au1 Au 0.0000 0.5000 0.5000
```

(2)
## PmErTm14 (PBE)

Data for a relaxed structure of PmErTm14.

Computed properties:
ΔH_f (0 K) ... 0.165 eV per formula unit
Volume ... 30.271 Å³/atom

Geometry as CIF:
```
data_PmErTm14
_chemical_formula_sum 'Pm2 Er2 Tm28'
_symmetry_space_group_name_H-M 'A m m 2'
_symmetry_Int_Tables_number 38
_cell_length_a 11.2949
_cell_length_b 7.0390
_cell_length_c 12.1840
_cell_angle_alpha 90.00
_cell_angle_beta 90.00
_cell_angle_gamma 90.00
loop_
_symmetry_equiv_pos_as_xyz
'x,y,z'
'-x,-y,z'
'-x,y,z'
'x,-y,z'
'x,y+1/2,z+1/2'
'-x,-y+1/2,z+1/2'
'-x,y+1/2,z+1/2'
'x,-y+1/2,z+1/2'
loop_
_atom_site_label
_atom_site_type_symbol
_atom_site_fract_x
_atom_site_fract_y
_atom_site_fract_z
Pm1 Pm 0.0000 0.0000 0.0000
Er1 Er 0.0000 0.0000 0.5000
Tm1 Tm 0.0000 0.2500 0.2501
Tm2 Tm 0.2502 0.0000 0.6671
Tm3 Tm 0.2520 0.0000 0.1673
Tm4 Tm 0.2523 0.2495 0.4167
Tm5 Tm 0.5000 0.0000 0.3337
Tm6 Tm 0.5000 0.0000 0.8336
Tm7 Tm 0.5000 0.2503 0.0839
```

(3)
## Ta2ReRh (PBE)

Data for a relaxed structure of Ta2ReRh.

Computed properties:
ΔH_f (0 K) ... -0.755 eV per formula unit
Volume ... 16.375 Å³/atom

Geometry as CIF:
```
data_Ta2ReRh
_chemical_formula_sum 'Ta4 Re2 Rh2'
_symmetry_space_group_name_H-M 'C 1 2/m 1'
_symmetry_Int_Tables_number 12
_cell_length_a 5.7766
_cell_length_b 8.4795
_cell_length_c 2.7910
_cell_angle_alpha 90.00
_cell_angle_beta 106.62
_cell_angle_gamma 90.00
loop_
_symmetry_equiv_pos_as_xyz
'x,y,z'
'-x,-y,-z'
'-x,y,-z'
'x,-y,z'
'x+1/2,y+1/2,z'
'-x+1/2,-y+1/2,-z'
'-x+1/2,y+1/2,-z'
'x+1/2,-y+1/2,z'
loop_
_atom_site_label
_atom_site_type_symbol
_atom_site_fract_x
_atom_site_fract_y
_atom_site_fract_z
Ta1 Ta 0.2500 0.2500 0.0000
Re1 Re 0.0000 0.0000 0.5000
Rh1 Rh 0.0000 0.5000 0.5000
```